# 1
Density functional theory data (GGA-PBE) for CrAsAu2 after structural relaxation.

SG: No. 12
Crystal system: monoclinic

Unit cell a=5.662 b=5.662 c=3.836 alpha=70.48 beta=70.48 gamma=122.69
Last column: magnetic moment on the atom in μB.
Element x y z (fractional)
Cr  0.500  0.000  0.500  3.43
Au  0.000  0.000  0.000  0.03
As  0.000  0.500  0.500  -0.14
Au  0.500  0.500  0.000  0.03

***

# 2
Density functional theory data (GGA-PBE) for Er5CdSb2 after structural relaxation.

SG: No. 63
Crystal system: orthorhombic

Unit cell a=5.436 b=6.323 c=14.937 alpha=90.00 beta=90.00 gamma=115.46
Element x y z (fractional)
Sb  0.212  0.425  0.887
Er  0.584  0.168  0.250
Er  0.379  0.759  0.448
Er  0.621  0.241  0.552
Er  0.379  0.759  0.052
Sb  0.788  0.575  0.387
Er  0.929  0.859  0.596
Er  0.071  0.141  0.096
Sb  0.788  0.575  0.113
Er  0.621  0.241  0.948
Er  0.929  0.859  0.904
Er  0.071  0.141  0.404
Cd  0.713  0.427  0.750
Cd  0.287  0.573  0.250
Sb  0.212  0.425  0.613
Er  0.416  0.832  0.750

***

# 3
Density functional theory data (GGA-PBE) for Hf3CdAs after structural relaxation.

Polymorph energy (0 for the lowest one), meV/atom: 0.0
SG: No. 221
Crystal system: cubic

Unit cell a=4.949 b=4.949 c=4.949 alpha=90.00 beta=90.00 gamma=90.00
Element x y z (fractional)
As  0.000  0.000  0.000
Hf  0.500  0.000  0.000
Cd  0.500  0.500  0.500
Hf  0.000  0.000  0.500
Hf  0.000  0.500  0.000

***

# 4
Density functional theory data (GGA-PBE) for DySi2NiPt2 after structural relaxation.

SG: No. 164
Crystal system: trigonal

Unit cell a=4.135 b=4.135 c=6.658 alpha=90.00 beta=90.00 gamma=120.00
Element x y z (fractional)
Pt  0.667  0.333  0.293
Si  0.667  0.333  0.678
Dy  0.000  0.000  0.000
Si  0.333  0.667  0.322
Pt  0.333  0.667  0.707
Ni  0.000  0.000  0.500

***

# 5
Density functional theory data (GGA-PBE) for La2PrC after structural relaxation.

Polymorph energy (0 for the lowest one), meV/atom: 0.0
SG: No. 71
Crystal system: orthorhombic

Unit cell a=5.353 b=7.382 c=6.965 alpha=105.32 beta=112.60 gamma=90.00
Element x y z (fractional)
La  0.145  0.572  0.289
Pr  0.500  0.750  0.000
La  0.144  0.072  0.289
La  0.855  0.428  0.711
Pr  0.500  0.250  0.000
La  0.856  0.928  0.711
C  0.000  0.250  0.000
C  0.000  0.750  0.000

***

# 6
Density functional theory data (GGA-PBE) for LaDy2ThBi5 after structural relaxation.

SG: No. 123
Crystal system: tetragonal

Unit cell a=5.713 b=5.713 c=12.187 alpha=90.00 beta=90.00 gamma=90.00
Element x y z (fractional)
Bi  0.500  0.000  0.500
Dy  0.500  0.500  0.263
Dy  0.500  0.500  0.737
La  0.000  0.000  0.000
Bi  0.000  0.000  0.247
Th  0.000  0.000  0.500
Bi  0.000  0.000  0.753
Bi  0.000  0.500  0.500
Bi  0.500  0.500  0.000

***

# 7
Density functional theory data (GGA-PBE) for KNb2Te4 after structural relaxation.

SG: No. 139
Crystal system: tetragonal

Unit cell a=5.962 b=5.962 c=8.576 alpha=69.66 beta=69.66 gamma=90.00
Element x y z (fractional)
Te  0.500  0.000  0.000
Nb  0.576  0.576  0.848
Te  0.250  0.250  0.501
Te  0.000  0.500  0.000
Te  0.750  0.750  0.499
Nb  0.424  0.424  0.152
K  0.000  0.000  0.000

***

# 8
Density functional theory data (GGA-PBE) for PmPrCu after structural relaxation.

Polymorph energy (0 for the lowest one), meV/atom: 27.4
SG: No. 107
Crystal system: tetragonal

Unit cell a=3.618 b=3.618 c=6.808 alpha=105.41 beta=105.41 gamma=90.00
Element x y z (fractional)
Cu  0.671  0.671  0.342
Pr  0.026  0.026  0.051
Pm  0.303  0.303  0.606

***

# 9
Density functional theory data (GGA-PBE) for UGaFeOs after structural relaxation.

SG: No. 216
Crystal system: cubic

Unit cell a=4.519 b=4.519 c=4.519 alpha=60.00 beta=60.00 gamma=60.00
Last column: magnetic moment on the atom in μB.
Element x y z (fractional)
Fe  0.250  0.250  0.250  -1.01
Ga  0.500  0.500  0.500  0.03
U  0.000  0.000  0.000  1.61
Os  0.750  0.750  0.750  -0.08

***

# 10
Density functional theory data (GGA-PBE) for Al2InGe after structural relaxation.

Polymorph energy (0 for the lowest one), meV/atom: 61.6
SG: No. 225
Crystal system: cubic

Unit cell a=4.849 b=4.849 c=4.849 alpha=60.00 beta=60.00 gamma=60.00
Element x y z (fractional)
Al  0.750  0.750  0.750
Ge  0.000  0.000  0.000
Al  0.250  0.250  0.250
In  0.500  0.500  0.500

***

# 11
Density functional theory data (GGA-PBE) for NaNbPd2 after structural relaxation.

Polymorph energy (0 for the lowest one), meV/atom: 596.1
SG: No. 122
Crystal system: tetragonal

Unit cell a=7.263 b=7.263 c=5.913 alpha=52.11 beta=52.11 gamma=90.00
Last column: magnetic moment on the atom in μB.
Element x y z (fractional)
Pd  0.100  0.625  0.250  0.03
Nb  0.000  0.000  0.000  0.52
Pd  0.375  0.350  0.750  0.03
Na  0.250  0.750  0.500  0.01
Na  0.500  0.500  0.000  0.01
Nb  0.750  0.250  0.500  0.52
Pd  0.650  0.125  0.250  0.03
Pd  0.875  0.900  0.750  0.03

***

# 12
Density functional theory data (GGA-PBE) for Pr2Ho2Mg after structural relaxation.

Polymorph energy (0 for the lowest one), meV/atom: 341.8
SG: No. 139
Crystal system: tetragonal

Unit cell a=4.423 b=4.423 c=9.421 alpha=103.58 beta=103.58 gamma=90.00
Element x y z (fractional)
Pr  0.593  0.593  0.185
Ho  0.250  0.750  0.500
Pr  0.407  0.407  0.815
Mg  0.000  0.000  0.000
Ho  0.750  0.250  0.500

***

Looking at raw total energy for the records above, in order, we have -5.043; -4.337; -6.952; -6.492; -5.973; -4.399; -4.424; -4.611; -8.522; -3.477; -5.058; -3.722 eV per atom.